[1]
{
  "formula": "K2ScNi",
  "functional": "PBE",
  "state": "optimized geometry",
  "dos_ef_per_ev_fu": 4.851,
  "e_above_lowest_polymorph_ev_per_atom": 0.2542,
  "dft_energy_ev_per_atom": -3.353,
  "mass_density_g_cm3": 2.14,
  "ef_ev_per_atom": 0.22,
  "lattice": [[10.6898, -1.7455, 0.0000], [10.6898, 1.7455, 0.0000], [-0.6754, 0.0000, 3.7825]],
  "species": ["K", "K", "Sc", "Ni"],
  "fractional_positions": [[0.1512, 0.1512, 0.1478], [0.8488, 0.8488, 0.8522], [0.0000, 0.0000, 0.5000], [0.5000, 0.5000, 0.0000]]
}

[2]
{
  "formula": "BaCd2Ag4",
  "functional": "PBE",
  "state": "optimized geometry",
  "dos_ef_per_ev_fu": 2.405,
  "e_above_lowest_polymorph_ev_per_atom": 0.0000,
  "dft_energy_ev_per_atom": -2.346,
  "mass_density_g_cm3": 8.16,
  "ef_ev_per_atom": -0.18,
  "lattice": [[4.7127, -3.7398, 0.0000], [4.7127, 3.7398, 0.0000], [-3.5556, 0.0000, 4.5835]],
  "species": ["Ba", "Cd", "Cd", "Ag", "Ag", "Ag", "Ag"],
  "fractional_positions": [[0.0000, 0.0000, 0.0000], [0.4995, 0.4995, 0.7494], [0.5005, 0.5005, 0.2506], [0.0002, 0.3815, 0.6913], [0.9998, 0.6185, 0.3087], [0.3815, 0.0002, 0.6913], [0.6185, 0.9998, 0.3087]]
}

[3]
{
  "formula": "Sr2Ta",
  "functional": "PBE",
  "state": "optimized geometry",
  "dos_ef_per_ev_fu": 2.349,
  "e_above_lowest_polymorph_ev_per_atom": 0.4410,
  "dft_energy_ev_per_atom": -4.018,
  "mass_density_g_cm3": 5.90,
  "ef_ev_per_atom": 1.05,
  "lattice": [[10.0549, 0.0000, 0.0000], [-5.0275, 8.7078, 0.0000], [0.0000, 0.0000, 3.4368]],
  "species": ["Sr", "Sr", "Sr", "Sr", "Sr", "Sr", "Ta", "Ta", "Ta"],
  "fractional_positions": [[0.0000, 0.3038, 0.0000], [0.0000, 0.6378, 0.5000], [0.3038, 0.0000, 0.0000], [0.3622, 0.3622, 0.5000], [0.6378, 0.0000, 0.5000], [0.6962, 0.6962, 0.0000], [0.0000, 0.0000, 0.5000], [0.3333, 0.6667, 0.0000], [0.6667, 0.3333, 0.0000]]
}